Arrangement 1

# Pm5Dy4Sc2 | the Alexandria database | PBE | relaxed
data_Pm5Dy4Sc2
_cell_length_a 8.7996
_cell_length_b 3.5023
_cell_length_c 11.3835
_cell_angle_alpha 90.00
_cell_angle_beta 93.85
_cell_angle_gamma 90.00
_space_group_name_H-M_alt 'P 1 2/m 1'
_space_group_IT_number 10
loop_
_space_group_symop_operation_xyz
'x,y,z'
'-x,-y,-z'
'-x,y,-z'
'x,-y,z'
loop_
_atom_site_label
_atom_site_type_symbol
_atom_site_fract_x
_atom_site_fract_y
_atom_site_fract_z
Pm1 Pm 0.0000 0.0000 0.0000
Pm2 Pm 0.0700 0.0000 0.3039
Pm3 Pm 0.3123 0.0000 0.8370
Dy1 Dy 0.2355 0.5000 0.5557
Dy2 Dy 0.3372 0.5000 0.1205
Sc1 Sc 0.4409 0.0000 0.3684
# Magnetization, μB per cell: 0.0

Arrangement 2

# Pm5Dy4Sc2 | the Alexandria database | PBE | relaxed
data_Pm5Dy4Sc2
_cell_length_a 3.4720
_cell_length_b 9.1783
_cell_length_c 22.8333
_cell_angle_alpha 90.00
_cell_angle_beta 90.00
_cell_angle_gamma 90.00
_space_group_name_H-M_alt 'I m m m'
_space_group_IT_number 71
_space_group_name_Hall '-I 2 2'
loop_
_atom_site_label
_atom_site_type_symbol
_atom_site_fract_x
_atom_site_fract_y
_atom_site_fract_z
Pm1 Pm 0.0000 0.0000 0.0000
Pm2 Pm 0.0000 0.2945 0.3472
Dy1 Dy 0.0000 0.1903 0.5000
Dy2 Dy 0.0000 0.5000 0.0991
Sc1 Sc 0.0000 0.5000 0.2301
# Magnetization, μB per cell: 0.0

Energies relative to the minimum, eV/atom: arrangement 1 0.000; arrangement 2 0.154

Arrangement 1

# Pm4Dy2Sc | the Alexandria database | PBE | relaxed
data_Pm4Dy2Sc
_cell_length_a 5.3165
_cell_length_b 11.1381
_cell_length_c 15.4612
_cell_angle_alpha 90.00
_cell_angle_beta 90.00
_cell_angle_gamma 90.00
_space_group_name_H-M_alt 'C m c e'
_space_group_IT_number 64
_space_group_name_Hall '-C 2ac 2'
loop_
_atom_site_label
_atom_site_type_symbol
_atom_site_fract_x
_atom_site_fract_y
_atom_site_fract_z
Pm1 Pm 0.0000 0.0887 0.1909
Pm2 Pm 0.0000 0.1995 0.4302
Dy1 Dy 0.0000 0.1125 0.6552
Sc1 Sc 0.0000 0.0000 0.0000
# Magnetization, μB per cell: 0.0

Arrangement 2

# Pm4Dy2Sc | the Alexandria database | PBE | relaxed
data_Pm4Dy2Sc
_cell_length_a 6.1018
_cell_length_b 12.8906
_cell_length_c 5.9311
_cell_angle_alpha 90.00
_cell_angle_beta 90.00
_cell_angle_gamma 90.00
_space_group_name_H-M_alt 'C m m m'
_space_group_IT_number 65
_space_group_name_Hall '-C 2 2'
loop_
_atom_site_label
_atom_site_type_symbol
_atom_site_fract_x
_atom_site_fract_y
_atom_site_fract_z
Pm1 Pm 0.0000 0.1370 0.0000
Pm2 Pm 0.0000 0.3129 0.5000
Dy1 Dy 0.0000 0.3894 0.0000
Sc1 Sc 0.0000 0.0000 0.5000
# Magnetization, μB per cell: 0.0

Energies relative to the minimum, eV/atom: arrangement 1 0.000; arrangement 2 0.351

Arrangement 1

# Pm8Dy2Sc | the Alexandria database | PBE | relaxed
data_Pm8Dy2Sc
_cell_length_a 18.3167
_cell_length_b 5.0913
_cell_length_c 8.0409
_cell_angle_alpha 90.00
_cell_angle_beta 105.25
_cell_angle_gamma 90.00
_space_group_name_H-M_alt 'C 1 2/m 1'
_space_group_IT_number 12
loop_
_space_group_symop_operation_xyz
'x,y,z'
'-x,-y,-z'
'-x,y,-z'
'x,-y,z'
'x+1/2,y+1/2,z'
'-x+1/2,-y+1/2,-z'
'-x+1/2,y+1/2,-z'
'x+1/2,-y+1/2,z'
loop_
_atom_site_label
_atom_site_type_symbol
_atom_site_fract_x
_atom_site_fract_y
_atom_site_fract_z
Pm1 Pm 0.0453 0.0000 0.2309
Pm2 Pm 0.0904 0.5000 0.9482
Pm3 Pm 0.1356 0.0000 0.6810
Pm4 Pm 0.1805 0.5000 0.4106
Dy1 Dy 0.2260 0.0000 0.1344
Sc1 Sc 0.0000 0.5000 0.5000
# Magnetization, μB per cell: 0.0

Arrangement 2

# Pm8Dy2Sc | the Alexandria database | PBE | relaxed
data_Pm8Dy2Sc
_cell_length_a 16.5803
_cell_length_b 6.7760
_cell_length_c 6.6818
_cell_angle_alpha 90.00
_cell_angle_beta 101.94
_cell_angle_gamma 90.00
_space_group_name_H-M_alt 'C 1 2/m 1'
_space_group_IT_number 12
loop_
_space_group_symop_operation_xyz
'x,y,z'
'-x,-y,-z'
'-x,y,-z'
'x,-y,z'
'x+1/2,y+1/2,z'
'-x+1/2,-y+1/2,-z'
'-x+1/2,y+1/2,-z'
'x+1/2,-y+1/2,z'
loop_
_atom_site_label
_atom_site_type_symbol
_atom_site_fract_x
_atom_site_fract_y
_atom_site_fract_z
Pm1 Pm 0.0813 0.2410 0.3889
Pm2 Pm 0.0967 0.0000 0.9179
Pm3 Pm 0.2457 0.5000 0.3304
Dy1 Dy 0.1860 0.5000 0.8102
Sc1 Sc 0.0000 0.5000 0.0000
# Magnetization, μB per cell: 0.0

Energies relative to the minimum, eV/atom: arrangement 1 0.000; arrangement 2 0.146

Arrangement 1

# PmDy2Sc2 | the Alexandria database | PBE | relaxed
data_PmDy2Sc2
_cell_length_a 3.4846
_cell_length_b 4.7755
_cell_length_c 17.4256
_cell_angle_alpha 90.00
_cell_angle_beta 90.00
_cell_angle_gamma 90.00
_space_group_name_H-M_alt 'I m m m'
_space_group_IT_number 71
_space_group_name_Hall '-I 2 2'
loop_
_atom_site_label
_atom_site_type_symbol
_atom_site_fract_x
_atom_site_fract_y
_atom_site_fract_z
Pm1 Pm 0.0000 0.0000 0.0000
Dy1 Dy 0.0000 0.0000 0.1976
Sc1 Sc 0.0000 0.0000 0.3994
# Magnetization, μB per cell: 0.0

Arrangement 2

# PmDy2Sc2 | the Alexandria database | PBE | relaxed
data_PmDy2Sc2
_cell_length_a 5.6543
_cell_length_b 11.0803
_cell_length_c 21.2982
_cell_angle_alpha 90.00
_cell_angle_beta 90.00
_cell_angle_gamma 90.00
_space_group_name_H-M_alt 'F d d d'
_space_group_IT_number 70
loop_
_space_group_symop_operation_xyz
'x,y,z'
'-x,-y,-z'
'-x+1/4,-y+1/4,z'
'x+1/4,y+1/4,-z'
'x,-y+1/4,-z+1/4'
'-x,y+1/4,z+1/4'
'-x+1/4,y,-z+1/4'
'x+1/4,-y,z+1/4'
'x,y+1/2,z+1/2'
'-x,-y+1/2,-z+1/2'
'-x+1/4,-y+3/4,z+1/2'
'x+1/4,y+3/4,-z+1/2'
'x,-y+3/4,-z+3/4'
'-x,y+3/4,z+3/4'
'-x+1/4,y+1/2,-z+3/4'
'x+1/4,-y+1/2,z+3/4'
'x+1/2,y,z+1/2'
'-x+1/2,-y,-z+1/2'
'-x+3/4,-y+1/4,z+1/2'
'x+3/4,y+1/4,-z+1/2'
'x+1/2,-y+1/4,-z+3/4'
'-x+1/2,y+1/4,z+3/4'
'-x+3/4,y,-z+3/4'
'x+3/4,-y,z+3/4'
'x+1/2,y+1/2,z'
'-x+1/2,-y+1/2,-z'
'-x+3/4,-y+3/4,z'
'x+3/4,y+3/4,-z'
'x+1/2,-y+3/4,-z+1/4'
'-x+1/2,y+3/4,z+1/4'
'-x+3/4,y+1/2,-z+1/4'
'x+3/4,-y+1/2,z+1/4'
loop_
_atom_site_label
_atom_site_type_symbol
_atom_site_fract_x
_atom_site_fract_y
_atom_site_fract_z
Pm1 Pm 0.1250 0.1250 0.1250
Dy1 Dy 0.1250 0.2911 0.6250
Sc1 Sc 0.0000 0.0000 0.0000
# Magnetization, μB per cell: 0.0

Energies relative to the minimum, eV/atom: arrangement 1 0.000; arrangement 2 0.485

Arrangement 1

# Pm5Dy4Sc | the Alexandria database | PBE | relaxed
data_Pm5Dy4Sc
_cell_length_a 4.1390
_cell_length_b 4.1390
_cell_length_c 18.8758
_cell_angle_alpha 90.00
_cell_angle_beta 90.00
_cell_angle_gamma 90.00
_space_group_name_H-M_alt 'P 4/m m m'
_space_group_IT_number 123
_space_group_name_Hall '-P 4 2'
loop_
_atom_site_label
_atom_site_type_symbol
_atom_site_fract_x
_atom_site_fract_y
_atom_site_fract_z
Pm1 Pm 0.0000 0.0000 0.0000
Pm2 Pm 0.0000 0.0000 0.2003
Pm3 Pm 0.0000 0.0000 0.4066
Dy1 Dy 0.5000 0.5000 0.1003
Dy2 Dy 0.5000 0.5000 0.3022
Sc1 Sc 0.5000 0.5000 0.5000
# Magnetization, μB per cell: 0.0

Arrangement 2

# Pm5Dy4Sc | the Alexandria database | PBE | relaxed
data_Pm5Dy4Sc
_cell_length_a 16.8660
_cell_length_b 3.5489
_cell_length_c 11.4365
_cell_angle_alpha 90.00
_cell_angle_beta 108.60
_cell_angle_gamma 90.00
_space_group_name_H-M_alt 'C 1 2/m 1'
_space_group_IT_number 12
loop_
_space_group_symop_operation_xyz
'x,y,z'
'-x,-y,-z'
'-x,y,-z'
'x,-y,z'
'x+1/2,y+1/2,z'
'-x+1/2,-y+1/2,-z'
'-x+1/2,y+1/2,-z'
'x+1/2,-y+1/2,z'
loop_
_atom_site_label
_atom_site_type_symbol
_atom_site_fract_x
_atom_site_fract_y
_atom_site_fract_z
Pm1 Pm 0.0000 0.0000 0.0000
Pm2 Pm 0.1853 0.5000 0.5739
Pm3 Pm 0.2106 0.5000 0.1161
Dy1 Dy 0.0824 0.5000 0.7869
Dy2 Dy 0.1044 0.0000 0.2982
Sc1 Sc 0.0000 0.0000 0.5000
# Magnetization, μB per cell: 0.0

Energies relative to the minimum, eV/atom: arrangement 1 0.061; arrangement 2 0.000

Arrangement 1

# Pm5Dy2Sc2 | the Alexandria database | PBE | relaxed
data_Pm5Dy2Sc2
_cell_length_a 19.2598
_cell_length_b 8.5163
_cell_length_c 7.0819
_cell_angle_alpha 90.00
_cell_angle_beta 90.00
_cell_angle_gamma 90.00
_space_group_name_H-M_alt 'I m a 2'
_space_group_IT_number 46
loop_
_space_group_symop_operation_xyz
'x,y,z'
'-x,-y,z'
'-x+1/2,y,z'
'x+1/2,-y,z'
'x+1/2,y+1/2,z+1/2'
'-x+1/2,-y+1/2,z+1/2'
'-x,y+1/2,z+1/2'
'x,-y+1/2,z+1/2'
loop_
_atom_site_label
_atom_site_type_symbol
_atom_site_fract_x
_atom_site_fract_y
_atom_site_fract_z
Pm1 Pm 0.1084 0.2278 0.9995
Pm2 Pm 0.1616 0.7476 0.0000
Pm3 Pm 0.2500 0.0452 0.7488
Dy1 Dy 0.0000 0.0000 0.2831
Dy2 Dy 0.2500 0.0581 0.2525
Sc1 Sc 0.0385 0.6367 0.2529
# Magnetization, μB per cell: 0.0

Arrangement 2

# Pm5Dy2Sc2 | the Alexandria database | PBE | relaxed
data_Pm5Dy2Sc2
_cell_length_a 19.7784
_cell_length_b 3.4691
_cell_length_c 8.5593
_cell_angle_alpha 90.00
_cell_angle_beta 102.80
_cell_angle_gamma 90.00
_space_group_name_H-M_alt 'C 1 2/m 1'
_space_group_IT_number 12
loop_
_space_group_symop_operation_xyz
'x,y,z'
'-x,-y,-z'
'-x,y,-z'
'x,-y,z'
'x+1/2,y+1/2,z'
'-x+1/2,-y+1/2,-z'
'-x+1/2,y+1/2,-z'
'x+1/2,-y+1/2,z'
loop_
_atom_site_label
_atom_site_type_symbol
_atom_site_fract_x
_atom_site_fract_y
_atom_site_fract_z
Pm1 Pm 0.0000 0.0000 0.0000
Pm2 Pm 0.1623 0.5000 0.9843
Pm3 Pm 0.2186 0.0000 0.6470
Dy1 Dy 0.0548 0.0000 0.6618
Sc1 Sc 0.0977 0.5000 0.3504
# Magnetization, μB per cell: 0.0

Energies relative to the minimum, eV/atom: arrangement 1 0.089; arrangement 2 0.000